First-principles (SCAN) data for AlMoRh2 at its PBEsol-relaxed geometry, as listed in Alexandria via LeMat-Bulk. Values from VASP.

M_tot, μB per formula unit: 0.00
Formation energy, meV per atom: -433
Crystal system: tetragonal

The structure in Quantum ESPRESSO input format:
```
&SYSTEM
  ibrav = 0, nat = 4, ntyp = 3
/
ATOMIC_SPECIES
Al 26.98 Al.upf
Mo 95.94 Mo.upf
Rh 102.91 Rh.upf
CELL_PARAMETERS angstrom
2.836 0.000 0.000
0.000 2.836 0.000
0.000 0.000 6.934
ATOMIC_POSITIONS angstrom
Al 0.000 0.000 0.000
Mo 1.418 1.418 1.848
Rh 0.000 0.000 3.561
Rh 1.418 1.418 5.481
```